4
Lattice="-0.4280 -3.6925 -4.7385 -0.0858 -5.7958 1.6346 -3.0943 4.8548 1.7684" Properties=species:S:1:pos:R:3 comment="Cd2PbBr, optimized geometry, DFT PBE-GGA" de_polymorph_ev_per_atom=0.1224 dos_at_fermi_per_ev_cell=2.27 volume_a3_per_cell=112.9 m_tot_mub_per_fu=0.0 total_energy_ev_per_atom=-1.8597 e_form_raw_mev_per_atom=-57 crystal_system=tetragonal pbc="T T T"
Pb -0.2569 -4.7442 -1.5519
Br -1.8896 -1.7909 -2.2610
Cd 0.0000 0.0000 0.0000
Cd -1.7185 -2.8426 0.9256